Crystalline La5Ho4Mg at its relaxed geometry. Source: Alexandria via LeMat-Bulk, functional PBE.

Unit cell a=3.7375 b=3.7375 c=24.0367 alpha=90.00 beta=90.00 gamma=90.00
With the nearest neighbours (Å) after each atom.
Positions (direct):
La: 0.5000 0.5000 0.9090  4 Mg 3.43, 4 Ho 3.63, 4 La 3.74
La: 0.5000 0.5000 0.0910  4 Mg 3.43, 4 Ho 3.63, 4 La 3.74
Ho: 0.0000 0.0000 0.1943  8 La 3.61-3.63, 4 Ho 3.74
Ho: 0.0000 0.0000 0.8057  8 La 3.61-3.63, 4 Ho 3.74
Mg: 0.0000 0.0000 0.0000  8 La 3.43, 4 Mg 3.74
La: 0.5000 0.5000 0.7036  8 Ho 3.60-3.61, 4 La 3.74
Ho: 0.0000 0.0000 0.6021  8 La 3.60-3.61, 4 Ho 3.74
La: 0.5000 0.5000 0.5000  8 Ho 3.61, 4 La 3.74
Ho: 0.0000 0.0000 0.3979  8 La 3.60-3.61, 4 Ho 3.74
La: 0.5000 0.5000 0.2964  8 Ho 3.60-3.61, 4 La 3.74

Calculated values
- DOS at the Fermi energy (states/eV per cell) = 13.8
- ΔE_f (meV/atom) = 5
- density (g/cm3) = 6.82


Crystalline LaHo2Mg6 at its relaxed geometry. Source: Alexandria via LeMat-Bulk, functional PBE.

Unit cell a=3.3296 b=9.1354 c=9.1354 alpha=120.00 beta=90.00 gamma=90.00
With the nearest neighbours (Å) after each atom.
Positions (direct):
Mg: 0.5000 0.0000 0.3380  3 Mg 2.96-3.09
Mg: 0.5000 0.6620 0.0000  3 Mg 2.96-3.09
Mg: 0.5000 0.3380 0.3380  3 Mg 2.96-3.09
La: 0.0000 0.0000 0.0000  2 La 3.33, 12 Mg 3.51
Mg: 0.5000 0.6620 0.6620  3 Mg 2.96-3.09
Mg: 0.5000 0.3380 0.0000  3 Mg 2.96-3.09
Ho: 0.0000 0.6667 0.3333  2 Ho 3.33, 12 Mg 3.45
Mg: 0.5000 0.0000 0.6620  3 Mg 2.96-3.09
Ho: 0.0000 0.3333 0.6667  2 Ho 3.33, 12 Mg 3.45

Calculated values
- DOS at the Fermi energy (states/eV per cell) = 6.9
- ΔE_f (meV/atom) = -75
- density (g/cm3) = 4.24


Crystalline La2HoMg at its relaxed geometry. Source: Alexandria via LeMat-Bulk, functional PBE.

Unit cell a=5.3215 b=5.3215 c=9.8540 alpha=105.69 beta=105.69 gamma=90.00
With the nearest neighbours (Å) after each atom.
Positions (direct):
La: 0.5000 0.0000 0.5000  8 La 3.63-3.76, 4 Ho 3.68-3.69
Ho: 0.6399 0.6399 0.7799  4 Mg 3.33, 4 La 3.68-3.69
La: 0.8645 0.8645 0.2286  4 Mg 3.38, 4 La 3.63, 4 Ho 3.76
La: 0.1355 0.1355 0.7714  4 Mg 3.38, 4 La 3.63, 4 Ho 3.76
Ho: 0.3601 0.3601 0.2201  4 Mg 3.33, 4 La 3.68-3.69
Mg: 0.7502 0.2498 0.0000  4 Ho 3.33, 4 La 3.38
La: 0.0000 0.5000 0.5000  8 La 3.63-3.76, 4 Ho 3.68-3.69
Mg: 0.2498 0.7502 0.0000  4 Ho 3.33, 4 La 3.38

Calculated values
- DOS at the Fermi energy (states/eV per cell) = 8.6
- ΔE_f (meV/atom) = -36
- density (g/cm3) = 6.02


Crystalline La3Ho2Mg3 at its relaxed geometry. Source: Alexandria via LeMat-Bulk, functional PBE.

Unit cell a=3.8287 b=5.6550 c=11.9754 alpha=103.66 beta=99.20 gamma=90.00
With the nearest neighbours (Å) after each atom.
Positions (direct):
Ho: 0.7362 0.2362 0.4724  2 Mg 3.25, 4 Ho 3.47
Ho: 0.2638 0.7638 0.5276  2 Mg 3.25, 4 Ho 3.47
La: 0.3734 0.3734 0.7469  6 Mg 3.42-3.48, 4 Ho 3.69-3.78
La: 0.5000 0.0000 0.0000  8 Mg 3.39-3.41
Mg: 0.1216 0.1216 0.2433  2 Ho 3.25, 6 La 3.39-3.42
La: 0.6266 0.6266 0.2531  6 Mg 3.42-3.48, 4 Ho 3.69-3.78
Mg: 0.8784 0.8784 0.7567  2 Ho 3.25, 6 La 3.39-3.42
Mg: 0.0000 0.5000 0.0000  8 La 3.41-3.48

Calculated values
- DOS at the Fermi energy (states/eV per cell) = 9.7
- ΔE_f (meV/atom) = -71
- density (g/cm3) = 5.48


Crystalline La15Ho4Mg at its relaxed geometry. Source: Alexandria via LeMat-Bulk, functional PBE.

Unit cell a=5.1855 b=5.1855 c=26.0077 alpha=90.00 beta=90.00 gamma=90.00
With the nearest neighbours (Å) after each atom.
Positions (direct):
La: 0.5000 0.0000 0.0989  8 La 3.65-3.67, 2 Mg 3.65, 2 Ho 3.66
La: 0.0000 0.5000 0.9011  8 La 3.65-3.67, 2 Mg 3.65, 2 Ho 3.66
La: 0.5000 0.0000 0.7009  8 La 3.67-3.68, 4 Ho 3.68-3.69
La: 0.5000 0.5000 0.6012  4 Ho 3.67, 8 La 3.67-3.69
La: 0.0000 0.5000 0.7009  8 La 3.67-3.68, 4 Ho 3.68-3.69
Ho: 0.0000 0.0000 0.8019  12 La 3.66-3.69
Ho: 0.0000 0.0000 0.3997  12 La 3.67-3.68
La: 0.0000 0.5000 0.5000  8 La 3.67-3.69, 4 Ho 3.68
La: 0.5000 0.5000 0.1984  8 La 3.66-3.68, 4 Ho 3.67
La: 0.5000 0.5000 0.0000  8 La 3.65, 4 Mg 3.67
La: 0.0000 0.5000 0.0989  8 La 3.65-3.67, 2 Mg 3.65, 2 Ho 3.66
La: 0.0000 0.5000 0.2991  8 La 3.67-3.68, 4 Ho 3.68-3.69
La: 0.5000 0.5000 0.3988  4 Ho 3.67, 8 La 3.67-3.69
Ho: 0.0000 0.0000 0.1981  12 La 3.66-3.69
La: 0.5000 0.5000 0.8016  8 La 3.66-3.68, 4 Ho 3.67
La: 0.5000 0.0000 0.9011  8 La 3.65-3.67, 2 Mg 3.65, 2 Ho 3.66
Ho: 0.0000 0.0000 0.6003  12 La 3.67-3.68
Mg: 0.0000 0.0000 0.0000  12 La 3.65-3.67
La: 0.5000 0.0000 0.5000  8 La 3.67-3.69, 4 Ho 3.68
La: 0.5000 0.0000 0.2991  8 La 3.67-3.68, 4 Ho 3.68-3.69

Calculated values
- DOS at the Fermi energy (states/eV per cell) = 24.0
- ΔE_f (meV/atom) = 0
- density (g/cm3) = 6.57


Crystalline LaHo3Mg6 at its relaxed geometry. Source: Alexandria via LeMat-Bulk, functional PBE.

Unit cell a=5.3194 b=9.3023 c=11.3467 alpha=106.13 beta=90.00 gamma=90.00
With the nearest neighbours (Å) after each atom.
Positions (direct):
Mg: 0.2500 0.6509 0.7046  5 Ho 3.21-3.39, 1 La 3.24, 2 Mg 3.26
Ho: 0.7500 0.2504 0.0005  8 Mg 3.18-3.33
Ho: 0.2500 0.3523 0.7993  8 Mg 3.24-3.35
Ho: 0.2500 0.5447 0.3939  8 Mg 3.20-3.39
Mg: 0.2500 0.4455 0.0994  7 Ho 3.21-3.33, 1 Mg 3.24
Mg: 0.7500 0.3491 0.2954  5 Ho 3.21-3.39, 1 La 3.24, 2 Mg 3.26
La: 0.7500 0.0542 0.3947  8 Mg 3.24-3.45
Mg: 0.2500 0.2565 0.4958  4 Ho 3.20-3.31, 1 Mg 3.26, 3 La 3.28-3.45
Ho: 0.7500 0.4553 0.6061  8 Mg 3.20-3.39
Mg: 0.7500 0.8501 0.8033  8 Mg 3.16-3.28
Ho: 0.2500 0.7496 0.9995  8 Mg 3.18-3.33
Mg: 0.2500 0.8485 0.2916  4 Ho 3.18-3.34, 1 Mg 3.27, 3 La 3.30-3.42
Ho: 0.7500 0.6477 0.2007  8 Mg 3.24-3.35
Mg: 0.7500 0.5545 0.9006  7 Ho 3.21-3.33, 1 Mg 3.24
Mg: 0.2500 0.1499 0.1967  8 Mg 3.16-3.28
Mg: 0.7500 0.9483 0.0929  3 Mg 3.16-3.28, 4 Ho 3.24-3.35, 1 La 3.29
Mg: 0.2500 0.0517 0.9071  3 Mg 3.16-3.28, 4 Ho 3.24-3.35, 1 La 3.29
La: 0.2500 0.9458 0.6053  8 Mg 3.24-3.45
Mg: 0.7500 0.7435 0.5042  4 Ho 3.20-3.31, 1 Mg 3.26, 3 La 3.28-3.45
Mg: 0.7500 0.1515 0.7084  4 Ho 3.18-3.34, 1 Mg 3.27, 3 La 3.30-3.42

Calculated values
- DOS at the Fermi energy (states/eV per cell) = 19.2
- ΔE_f (meV/atom) = -63
- density (g/cm3) = 4.80